[1]
A relaxed structure of Li5V5Ni2O12, computed with PBEsol.

## Properties
Total moment ... 19.9 Bohr magnetons per cell
Total energy ... -7.507 eV/atom
Fermi-level density of states ... 28.86 states/eV per cell

```
data_Li5V5Ni2O12
_chemical_formula_sum 'Li10 V10 Ni4 O24'
_cell_length_a 5.360
_cell_length_b 8.399
_cell_length_c 9.440
_cell_angle_alpha 90.00
_cell_angle_beta 93.80
_cell_angle_gamma 90.00
_space_group_name_H-M_alt 'C 1 2 1'
_space_group_IT_number 5
_space_group_name_Hall 'C 2y'
loop_
_atom_site_label
_atom_site_type_symbol
_atom_site_fract_x
_atom_site_fract_y
_atom_site_fract_z
_atom_site_occupancy
Li1 Li 0.000 0.000 0.000 1
Li2 Li 0.234 0.828 0.242 1
Li3 Li 0.236 0.512 0.236 1
V1 V 0.000 0.334 0.000 1
V2 V 0.000 0.506 0.500 1
V3 V 0.000 0.832 0.500 1
V4 V 0.247 0.164 0.236 1
Ni1 Ni 0.000 0.167 0.500 1
Ni2 Ni 0.000 0.678 0.000 1
O1 O 0.070 0.670 0.358 1
O2 O 0.075 0.174 0.859 1
O3 O 0.127 0.500 0.877 1
O4 O 0.160 0.000 0.385 1
O5 O 0.162 0.334 0.386 1
O6 O 0.164 0.837 0.886 1
```

---

[2]
A relaxed structure of MgTiCrBr2, computed with PBEsol.

## Properties
Total moment ... 1.0 Bohr magnetons per cell
Total energy ... -4.390 eV/atom
Fermi-level density of states ... 3.79 states/eV per cell

```
data_MgTiCrBr2
_chemical_formula_sum 'Mg1 Ti1 Cr1 Br2'
_cell_length_a 4.940
_cell_length_b 4.940
_cell_length_c 4.621
_cell_angle_alpha 90.00
_cell_angle_beta 90.00
_cell_angle_gamma 90.00
_space_group_name_H-M_alt 'P 4/m m m'
_space_group_IT_number 123
_space_group_name_Hall '-P 4 2'
loop_
_atom_site_label
_atom_site_type_symbol
_atom_site_fract_x
_atom_site_fract_y
_atom_site_fract_z
_atom_site_occupancy
Mg1 Mg 0.000 0.000 0.000 1
Ti1 Ti 0.500 0.500 0.000 1
Cr1 Cr 0.500 0.500 0.500 1
Br1 Br 0.000 0.500 0.500 1
```